Entry 1:
First-principles (PBE) data for Tm4In2Rh after structural relaxation, as listed in Alexandria via LeMat-Bulk. Values from VASP.

## Properties
* N(E_F): 4.184 states/eV per cell

```
&SYSTEM
  ibrav = 0, nat = 7, ntyp = 3
/
ATOMIC_SPECIES
Tm 168.93 Tm.upf
In 114.82 In.upf
Rh 102.91 Rh.upf
ATOMIC_POSITIONS angstrom
Tm -0.0127 0.0000 2.1124
Tm 0.0253 1.8153 5.4331
Tm 3.2041 1.8153 2.9527
Tm 3.2422 0.0000 6.2735
In -1.4554 1.8153 8.3766
In 4.6848 1.8153 0.0093
Rh 1.6147 0.0000 4.1929
CELL_PARAMETERS angstrom
6.3912 0.0000 0.0000
0.0000 3.6306 0.0000
-3.1618 0.0000 8.3858
```



Entry 2:
First-principles (PBE) data for Tm6In2Rh after structural relaxation, as listed in Alexandria via LeMat-Bulk. Values from VASP.

## Properties
* N(E_F): 7.891 states/eV per cell

```
&SYSTEM
  ibrav = 0, nat = 9, ntyp = 3
/
ATOMIC_SPECIES
Tm 168.93 Tm.upf
In 114.82 In.upf
Rh 102.91 Rh.upf
ATOMIC_POSITIONS angstrom
Tm 2.5024 1.7122 -2.2859
Tm 0.0000 1.6242 0.0000
Tm 2.5024 1.7122 2.2859
Tm 0.0000 1.8725 5.0827
Tm 0.0000 5.5452 0.0000
Tm 0.0000 1.8725 9.6545
In 2.5024 0.0000 4.9099
In 0.0000 3.5847 2.4587
Rh 2.5024 0.0000 0.0000
CELL_PARAMETERS angstrom
-2.5024 3.5847 7.3686
2.5024 -3.5847 7.3686
2.5024 3.5847 -7.3686
```



Entry 3:
First-principles (PBE) data for TmInRh after structural relaxation, as listed in Alexandria via LeMat-Bulk. Values from VASP.

## Properties
* N(E_F): 3.151 states/eV per cell

```
&SYSTEM
  ibrav = 0, nat = 9, ntyp = 3
/
ATOMIC_SPECIES
Tm 168.93 Tm.upf
In 114.82 In.upf
Rh 102.91 Rh.upf
ATOMIC_POSITIONS angstrom
Tm -1.5153 2.6246 0.0000
Tm 3.0306 0.0000 0.0000
Tm 2.2420 3.8833 0.0000
In -2.7790 4.8133 1.9209
In 0.9784 1.6946 1.9209
In 5.5579 0.0000 1.9209
Rh 0.0000 0.0000 0.0000
Rh 0.0000 4.3386 1.9209
Rh 3.7574 2.1693 1.9209
CELL_PARAMETERS angstrom
7.5147 0.0000 0.0000
-3.7574 6.5079 0.0000
0.0000 0.0000 3.8418
```



Entry 4:
First-principles (PBE) data for Tm6InRh after structural relaxation, as listed in Alexandria via LeMat-Bulk. Values from VASP.

## Properties
* N(E_F): 20.724 states/eV per cell

```
&SYSTEM
  ibrav = 0, nat = 16, ntyp = 3
/
ATOMIC_SPECIES
Tm 168.93 Tm.upf
In 114.82 In.upf
Rh 102.91 Rh.upf
ATOMIC_POSITIONS angstrom
Tm 0.2901 1.9281 1.7715
Tm 0.2901 7.9503 1.7715
Tm 1.4729 4.9392 0.7994
Tm 0.7693 0.0000 5.2708
Tm 1.9521 3.0111 4.2987
Tm 1.9521 6.8673 4.2987
Tm 4.2686 3.0111 1.7715
Tm 4.2686 6.8673 1.7715
Tm 5.4514 0.0000 0.7994
Tm 4.7478 4.9392 5.2708
Tm 5.9306 1.9281 4.2987
Tm 5.9306 7.9503 4.2987
In -0.8682 4.9392 3.0351
In 3.1104 0.0000 3.0351
Rh 0.0000 0.0000 0.0000
Rh 3.9785 4.9392 0.0000
CELL_PARAMETERS angstrom
7.9570 0.0000 0.0000
0.0000 9.8784 0.0000
-1.7363 0.0000 6.0702
```



| no. | calculated total energy (eV per atom) |
| --- | --- |
| 1 | -4.788 |
| 2 | -4.675 |
| 3 | -5.618 |
| 4 | -4.765 |